Entry from Alexandria: a PBEsol-optimized structure of TePbSe2Br (SCAN).

Output
DOS(E_F): 1.367 states/eV/f.u.
theoretical density: 6190 kg/m³
E_tot: -34.481 eV/atom
ΔE_f (raw): 5 kJ per mole of atoms

Lattice parameters (Å, degrees): 5.3584 5.3584 5.3503 90.00 90.00 90.00
With the nearest neighbours (Å) after each atom.
Element x y z (fractional)
Te 0.0000 0.0000 0.0000  2 Br 2.68, 4 Se 2.68
Pb 0.5000 0.5000 0.5000  8 Se 3.79, 4 Br 3.79
Se 0.0000 0.5000 0.0000  2 Te 2.68
Se 0.5000 0.0000 0.0000  2 Te 2.68
Br 0.0000 0.0000 0.5000  2 Te 2.68